Record 1
Sr2Li3TlBi4 PBE optimized geometry; volume = 29.7 Å³ per atom; final energy = -32.29 eV for the cell shown; energy relative to the elements = -0.529 eV per atom
1.0
-1.5854 -3.3879 -3.2558
-2.0053 -2.6196 3.7024
-10.3579 6.0946 -1.2980
Sr Li Tl Bi
2 3 1 4
Direct
0.5000 0.0000 0.2275 Sr
0.0000 0.5000 0.7725 Sr
0.0000 0.0000 0.5000 Li
0.5000 0.0000 0.8789 Li
0.0000 0.5000 0.1211 Li
0.5000 0.5000 0.5000 Tl
0.5000 0.5000 0.0000 Bi
0.0000 0.0000 0.0000 Bi
0.5000 0.0000 0.6520 Bi
0.0000 0.5000 0.3480 Bi


Record 2
BaPr2ReN4 PBE optimized geometry; volume = 18.3 Å³ per atom; final energy = -127.31 eV for the cell shown; formation energy from raw total energies = -803 meV/atom
1.0
3.5954 0.0000 0.0000
-1.7977 6.4464 0.0000
0.0000 0.0000 12.6309
Ba Pr Re N
2 4 2 8
Direct
0.0623 0.1245 0.7500 Ba
0.9377 0.8755 0.2500 Ba
0.3708 0.7415 0.5401 Pr
0.6292 0.2585 0.0401 Pr
0.6292 0.2585 0.4599 Pr
0.3708 0.7415 0.9599 Pr
0.8054 0.6108 0.7500 Re
0.1946 0.3892 0.2500 Re
0.2586 0.5173 0.1175 N
0.7414 0.4827 0.6175 N
0.7414 0.4827 0.8825 N
0.2586 0.5173 0.3825 N
0.0000 0.0000 0.5000 N
0.0000 0.0000 0.0000 N
0.3845 0.7691 0.7500 N
0.6155 0.2309 0.2500 N


Record 3
InSn2Bi PBE optimized geometry; volume = 38.8 Å³ per atom; final energy = -28.56 eV for the cell shown; energy relative to the elements = 0.086 eV per atom
1.0
6.7636 0.0000 0.0000
0.0000 6.7636 0.0000
3.3818 3.3818 6.7923
In Bi Sn
2 2 4
Direct
0.5000 0.5000 0.0000 In
0.2500 0.7500 0.5000 In
0.0000 0.0000 0.0000 Bi
0.7500 0.2500 0.5000 Bi
0.6088 0.1250 0.2500 Sn
0.1412 0.6250 0.2500 Sn
0.3750 0.3912 0.7500 Sn
0.8750 0.8588 0.7500 Sn


Record 4
Sr2LiZn2 PBE optimized geometry; volume = 31.9 Å³ per atom; final energy = -7.68 eV for the cell shown; energy relative to the elements = 0.030 eV per atom
1.0
-0.7973 3.9394 0.1714
-2.8031 -0.4433 -2.8513
-8.5954 0.0708 5.6010
Sr Zn Li
2 2 1
Direct
0.3840 0.3840 0.2321 Sr
0.6160 0.6160 0.7679 Sr
0.7500 0.2500 0.5000 Zn
0.2500 0.7500 0.5000 Zn
0.0000 0.0000 0.0000 Li


Record 5
MgNbSb2Te PBE optimized geometry; volume = 28.8 Å³ per atom; final energy = -17.60 eV for the cell shown; formation energy from raw total energies = 1089 meV/atom
1.0
5.1755 0.0000 0.0000
0.0000 5.1755 0.0000
0.0000 0.0000 5.3765
Sb Nb Te Mg
2 1 1 1
Direct
0.0000 0.5000 0.0000 Sb
0.5000 0.0000 0.0000 Sb
0.5000 0.5000 0.5000 Nb
0.0000 0.0000 0.5000 Te
0.0000 0.0000 0.0000 Mg


Record 6
Pr3Ag5Ge12 PBE optimized geometry; volume = 26.0 Å³ per atom; final energy = -314.44 eV for the cell shown; energy relative to the elements = 0.270 eV per atom
1.0
13.9309 0.0000 0.0000
-4.6436 13.1342 0.0000
-4.6436 -6.5671 11.3746
Pr Ag Ge
12 20 48
Direct
0.7500 0.3750 0.1250 Pr
0.8750 0.7500 0.1250 Pr
0.3750 0.7500 0.6250 Pr
0.2500 0.1250 0.3750 Pr
0.8750 0.1250 0.2500 Pr
0.3750 0.6250 0.2500 Pr
0.6250 0.3750 0.7500 Pr
0.1250 0.8750 0.7500 Pr
0.7500 0.8750 0.6250 Pr
0.6250 0.2500 0.3750 Pr
0.1250 0.2500 0.8750 Pr
0.2500 0.6250 0.8750 Pr
0.1250 0.3750 0.2500 Ag
0.0000 0.5000 0.0000 Ag
0.0000 0.0000 0.0000 Ag
0.3750 0.2500 0.1250 Ag
0.5000 0.0000 0.5000 Ag
0.5000 0.5000 0.0000 Ag
0.1250 0.7500 0.3750 Ag
0.7500 0.1250 0.8750 Ag
0.7500 0.6250 0.3750 Ag
0.3750 0.1250 0.7500 Ag
0.6250 0.8750 0.2500 Ag
0.5000 0.5000 0.5000 Ag
0.5000 0.0000 0.0000 Ag
0.0000 0.0000 0.5000 Ag
0.2500 0.3750 0.6250 Ag
0.2500 0.8750 0.1250 Ag
0.0000 0.5000 0.5000 Ag
0.8750 0.2500 0.6250 Ag
0.6250 0.7500 0.8750 Ag
0.8750 0.6250 0.7500 Ag
0.7055 0.0719 0.0152 Ge
0.3097 0.5152 0.4433 Ge
0.9848 0.4281 0.2945 Ge
0.5152 0.2055 0.0719 Ge
0.6336 0.7055 0.6903 Ge
0.9848 0.5567 0.1903 Ge
0.3097 0.7945 0.3664 Ge
0.0567 0.8664 0.0719 Ge
0.5567 0.9848 0.6903 Ge
0.7055 0.6336 0.1903 Ge
0.7945 0.4848 0.4281 Ge
0.8097 0.9433 0.0152 Ge
0.0719 0.7055 0.5152 Ge
0.4281 0.4433 0.1336 Ge
0.1336 0.9433 0.4281 Ge
0.3664 0.0719 0.5567 Ge
0.1336 0.1903 0.2055 Ge
0.4848 0.6903 0.0567 Ge
0.8097 0.8664 0.2945 Ge
0.0719 0.3664 0.0567 Ge
0.4281 0.9848 0.7945 Ge
0.5567 0.5719 0.3664 Ge
0.9433 0.8097 0.5152 Ge
0.7945 0.3097 0.8664 Ge
0.4433 0.4281 0.6336 Ge
0.0567 0.1903 0.4848 Ge
0.2055 0.6903 0.1336 Ge
0.1903 0.1336 0.7055 Ge
0.5719 0.0152 0.2055 Ge
0.9281 0.6336 0.9433 Ge
0.5152 0.3097 0.9433 Ge
0.6336 0.9281 0.4433 Ge
0.8664 0.8097 0.7945 Ge
0.8664 0.0567 0.5719 Ge
0.9281 0.2945 0.4848 Ge
0.1903 0.0567 0.9848 Ge
0.5719 0.5567 0.8664 Ge
0.4433 0.0152 0.3097 Ge
0.2945 0.3664 0.8097 Ge
0.2055 0.5152 0.5719 Ge
0.9433 0.1336 0.9281 Ge
0.6903 0.2055 0.6336 Ge
0.4848 0.7945 0.9281 Ge
0.0152 0.4433 0.8097 Ge
0.3664 0.2945 0.3097 Ge
0.0152 0.5719 0.7055 Ge
0.6903 0.4848 0.5567 Ge
0.2945 0.9281 0.9848 Ge


Record 7
TiSeI2 PBE optimized geometry; volume = 24.3 Å³ per atom; final energy = -13.38 eV for the cell shown; formation energy from raw total energies = 275 meV/atom
1.0
0.0000 3.6506 3.6506
3.6506 0.0000 3.6506
3.6506 3.6506 0.0000
I Se Ti
2 1 1
Direct
0.2500 0.2500 0.2500 I
0.7500 0.7500 0.7500 I
0.5000 0.5000 0.5000 Se
0.0000 0.0000 0.0000 Ti